Entry from Alexandria via LeMat-Bulk: a relaxed Y6Ho5Tm crystal (PBE).

Cell: 5.0074 7.9407 10.0231 Å, 90.00 90.01 71.62°
Last column: nearest neighbours and their distance in Å.
Element x y z (fractional)
Y (0.1667, 0.6667, 0.2496)  7 Ho 3.54-3.55, 1 Tm 3.54, 4 Y 3.55
Y (0.1666, 0.6667, 0.7504)  7 Ho 3.54-3.55, 1 Tm 3.54, 4 Y 3.55
Y (0.5000, 0.0000, 0.7503)  2 Tm 3.54, 6 Ho 3.54-3.55, 4 Y 3.55
Y (0.5000, 0.0000, 0.2497)  2 Tm 3.54, 6 Ho 3.54-3.55, 4 Y 3.55
Y (0.8334, 0.3333, 0.2496)  7 Ho 3.54-3.55, 1 Tm 3.54, 4 Y 3.55
Y (0.8333, 0.3333, 0.7504)  7 Ho 3.54-3.55, 1 Tm 3.54, 4 Y 3.55
Tm (0.0000, 0.0000, 0.0000)  8 Y 3.54, 4 Ho 3.54
Ho (0.3333, 0.3334, 0.5000)  8 Y 3.54-3.55, 4 Ho 3.55
Ho (0.6664, 0.6673, 0.0000)  8 Y 3.54-3.55, 2 Tm 3.54, 2 Ho 3.55
Ho (0.0000, 0.0000, 0.5000)  8 Y 3.54-3.55, 4 Ho 3.55
Ho (0.3336, 0.3327, 0.0000)  8 Y 3.54-3.55, 2 Tm 3.54, 2 Ho 3.55
Ho (0.6667, 0.6666, 0.5000)  8 Y 3.54-3.55, 4 Ho 3.55

Results
Total magnetization = 0.000 μB/atom
E_form = 0.025 eV per atom
Crystal system = orthorhombic
Raw total energy = -65.8 eV per cell


Entry from Alexandria via LeMat-Bulk: a relaxed Y4Ho15Tm crystal (PBE).

Cell: 4.9954 4.9954 24.9738 Å, 90.00 90.00 90.00°
Last column: nearest neighbours and their distance in Å.
Element x y z (fractional)
Y (0.0000, 0.0000, 0.1994)  12 Ho 3.53-3.54
Y (0.0000, 0.0000, 0.3998)  12 Ho 3.53-3.54
Y (0.0000, 0.0000, 0.6002)  12 Ho 3.53-3.54
Y (0.0000, 0.0000, 0.8006)  12 Ho 3.53-3.54
Ho (0.5000, 0.5000, 0.0000)  8 Ho 3.51, 4 Tm 3.53
Ho (0.5000, 0.5000, 0.1993)  4 Y 3.53, 8 Ho 3.54
Ho (0.5000, 0.5000, 0.3998)  4 Y 3.53, 8 Ho 3.53-3.54
Ho (0.5000, 0.5000, 0.6002)  4 Y 3.53, 8 Ho 3.53-3.54
Ho (0.5000, 0.5000, 0.8007)  4 Y 3.53, 8 Ho 3.54
Ho (0.5000, 0.0000, 0.0990)  2 Tm 3.51, 8 Ho 3.51-3.54, 2 Y 3.54
Ho (0.5000, 0.0000, 0.2996)  8 Ho 3.53-3.54, 4 Y 3.53-3.54
Ho (0.5000, 0.0000, 0.5000)  8 Ho 3.53, 4 Y 3.54
Ho (0.5000, 0.0000, 0.7004)  8 Ho 3.53-3.54, 4 Y 3.53-3.54
Ho (0.5000, 0.0000, 0.9010)  2 Tm 3.51, 8 Ho 3.51-3.54, 2 Y 3.54
Ho (0.0000, 0.5000, 0.0990)  8 Ho 3.51-3.54, 2 Tm 3.51, 2 Y 3.54
Ho (0.0000, 0.5000, 0.2996)  8 Ho 3.53-3.54, 4 Y 3.53-3.54
Ho (0.0000, 0.5000, 0.5000)  8 Ho 3.53, 4 Y 3.54
Ho (0.0000, 0.5000, 0.7004)  8 Ho 3.53-3.54, 4 Y 3.53-3.54
Ho (0.0000, 0.5000, 0.9010)  8 Ho 3.51-3.54, 2 Tm 3.51, 2 Y 3.54
Tm (0.0000, 0.0000, 0.0000)  12 Ho 3.51-3.53

Results
Total magnetization = 0.000 μB/atom
E_form = 0.022 eV per atom
Crystal system = tetragonal
Raw total energy = -98.5 eV per cell


Entry from Alexandria via LeMat-Bulk: a relaxed YHo8Tm5 crystal (PBE).

Cell: 8.3600 8.3600 8.3600 Å, 111.06 106.33 111.06°
Last column: nearest neighbours and their distance in Å.
Element x y z (fractional)
Y (0.2500, 0.5000, 0.7500)  4 Ho 3.23
Ho (0.1619, 0.7386, 0.0815)  4 Tm 3.08-3.41, 1 Y 3.23
Ho (0.9185, 0.0804, 0.6571)  4 Tm 3.08-3.41, 1 Y 3.23
Ho (0.7276, 0.2537, 0.3333)  5 Tm 3.28-3.50, 3 Ho 3.52-3.59
Ho (0.6667, 0.3943, 0.9204)  5 Tm 3.28-3.50, 3 Ho 3.52-3.59
Ho (0.5261, 0.6057, 0.2724)  5 Tm 3.28-3.50, 3 Ho 3.52-3.59
Ho (0.5767, 0.9196, 0.8381)  4 Tm 3.08-3.41, 1 Y 3.23
Ho (0.3429, 0.2614, 0.4233)  4 Tm 3.08-3.41, 1 Y 3.23
Ho (0.0796, 0.7463, 0.4739)  5 Tm 3.28-3.50, 3 Ho 3.52-3.59
Tm (0.0376, 0.3212, 0.1347)  8 Ho 3.30-3.50, 2 Tm 3.51
Tm (0.8653, 0.9029, 0.1865)  8 Ho 3.30-3.50, 2 Tm 3.51
Tm (0.8135, 0.6788, 0.7164)  8 Ho 3.30-3.50, 2 Tm 3.51
Tm (0.5000, 0.0000, 0.5000)  8 Ho 3.08-3.28
Tm (0.2836, 0.0971, 0.9624)  8 Ho 3.30-3.50, 2 Tm 3.51

Results
Total magnetization = 0.000 μB/atom
E_form = 0.256 eV per atom
Crystal system = tetragonal
Raw total energy = -61.9 eV per cell


Entry from Alexandria via LeMat-Bulk: a relaxed Y4Ho2Tm5 crystal (PBE).

Cell: 4.9740 7.8793 20.2410 Å, 153.51 97.06 90.00°
Last column: nearest neighbours and their distance in Å.
Element x y z (fractional)
Y (0.3180, 0.3621, 0.6359)  4 Y 3.52, 7 Tm 3.53-3.54, 1 Ho 3.54
Y (0.9545, 0.0894, 0.9089)  5 Tm 3.51-3.54, 3 Y 3.52-3.54, 4 Ho 3.53-3.54
Y (0.6820, 0.6379, 0.3641)  4 Y 3.52, 7 Tm 3.53-3.54, 1 Ho 3.54
Y (0.0455, 0.9106, 0.0911)  5 Tm 3.51-3.54, 3 Y 3.52-3.54, 4 Ho 3.53-3.54
Ho (0.4088, 0.1822, 0.8175)  6 Tm 3.50-3.52, 5 Y 3.53-3.54, 1 Ho 3.55
Ho (0.5913, 0.8178, 0.1825)  6 Tm 3.50-3.52, 5 Y 3.53-3.54, 1 Ho 3.55
Tm (0.8634, 0.2695, 0.7268)  5 Tm 3.49-3.53, 2 Ho 3.50, 5 Y 3.52-3.53
Tm (0.1366, 0.7305, 0.2732)  5 Tm 3.49-3.53, 2 Ho 3.50, 5 Y 3.52-3.53
Tm (0.7725, 0.4561, 0.5451)  5 Tm 3.49-3.52, 3 Ho 3.50-3.52, 4 Y 3.54
Tm (0.5000, 0.0000, 0.0000)  2 Ho 3.51, 6 Y 3.51-3.53, 4 Tm 3.53
Tm (0.2275, 0.5439, 0.4549)  5 Tm 3.49-3.52, 3 Ho 3.50-3.52, 4 Y 3.54

Results
Total magnetization = 0.000 μB/atom
E_form = 0.029 eV per atom
Crystal system = monoclinic
Raw total energy = -57.1 eV per cell